No. 1
A PBEsol-optimized structure of Mn5CrO8, computed with meta-GGA SCAN.

a b c (Å): 5.8182 6.0780 5.8440
angles (deg): 118.59 90.00 118.60
Last column: nearest neighbours and their distance in Å.
Element x y z (fractional)
Mn 0.3710 0.7421 0.1158  4 O 1.99-2.04
Mn 0.6290 0.2579 0.8842  4 O 1.99-2.04
Mn 0.0000 0.0000 0.0000  4 O 1.93
Mn 0.5000 0.5000 0.5000  4 O 1.93-2.00
Mn 0.0000 0.5000 0.5000  4 O 1.93-2.00
Cr 0.0000 0.0000 0.5000  6 O 1.99-2.00
O 0.7770 0.5539 0.2967  3 Mn 2.00-2.04, 1 Cr 2.00
O 0.7492 0.4985 0.7160  3 Mn 1.93-2.00
O 0.2508 0.5015 0.2840  3 Mn 1.93-2.00
O 0.2230 0.4461 0.7033  3 Mn 2.00-2.04, 1 Cr 2.00
O 0.7719 0.9928 0.7527  2 Mn 1.93-1.99, 1 Cr 1.99
O 0.2209 0.9928 0.7527  2 Mn 1.93-1.99, 1 Cr 1.99
O 0.7791 0.0072 0.2473  2 Mn 1.93-1.99, 1 Cr 1.99
O 0.2281 0.0072 0.2473  2 Mn 1.93-1.99, 1 Cr 1.99

symmetry	No. 12
size of the total moment	25.000	μB/cell

***

No. 2
A PBEsol-optimized structure of ZnWO4, computed with meta-GGA SCAN.

a b c (Å): 4.6695 4.9252 5.7161
angles (deg): 90.00 90.00 90.64
Last column: nearest neighbours and their distance in Å.
Element x y z (fractional)
Zn 0.5000 0.2500 0.3240  6 O 2.04-2.19
Zn 0.5000 0.7500 0.6760  6 O 2.04-2.19
O 0.2172 0.9338 0.8942  2 W 1.92-2.12, 1 Zn 2.04
O 0.7828 0.5662 0.8942  2 W 1.92-2.12, 1 Zn 2.04
O 0.7828 0.0662 0.1058  2 W 1.92-2.12, 1 Zn 2.04
O 0.2172 0.4338 0.1058  2 W 1.92-2.12, 1 Zn 2.04
O 0.2581 0.4027 0.6236  1 W 1.81
O 0.7419 0.0973 0.6236  1 W 1.81
O 0.7419 0.5973 0.3764  1 W 1.81
O 0.2581 0.9027 0.3764  1 W 1.81
W 0.0000 0.2500 0.8201  4 O 1.81-1.92
W 0.0000 0.7500 0.1799  4 O 1.81-1.92

symmetry	No. 13
size of the total moment	0.000	μB/cell
N(E_F)	0.00	states/eV per cell
relative energy among the computed polymorphs	0	meV/atom

***

No. 3
A PBEsol-optimized structure of Mg2HgPt2, computed with meta-GGA SCAN.

a b c (Å): 2.9597 7.6060 7.6060
angles (deg): 90.00 90.00 90.00
Last column: nearest neighbours and their distance in Å.
Element x y z (fractional)
Mg 0.5000 0.1584 0.6584  6 Pt 2.65-2.70, 2 Mg 2.96
Mg 0.5000 0.6584 0.8416  6 Pt 2.65-2.70, 2 Mg 2.96
Mg 0.5000 0.8416 0.3416  6 Pt 2.65-2.70, 2 Mg 2.96
Mg 0.5000 0.3416 0.1584  6 Pt 2.65-2.70, 2 Mg 2.96
Hg 0.0000 0.0000 0.0000  4 Pt 2.95, 2 Hg 2.96, 8 Mg 3.22
Hg 0.0000 0.5000 0.5000  4 Pt 2.95, 2 Hg 2.96, 8 Mg 3.22
Pt 0.0000 0.3628 0.8628  6 Mg 2.65-2.70, 2 Hg 2.95, 3 Pt 2.95-2.96
Pt 0.0000 0.8628 0.6372  6 Mg 2.65-2.70, 2 Hg 2.95, 3 Pt 2.95-2.96
Pt 0.0000 0.6372 0.1372  6 Mg 2.65-2.70, 2 Hg 2.95, 3 Pt 2.95-2.96
Pt 0.0000 0.1372 0.3628  6 Mg 2.65-2.70, 2 Hg 2.95, 3 Pt 2.95-2.96

symmetry	No. 127
size of the total moment	0.000	μB/cell
calculated formation energy	-0.708	eV/atom
N(E_F)	2.18	states/eV per cell

***

Number 1: E_tot -13.607 eV per atom. Number 2: E_tot -20.104 eV per atom. Number 3: E_tot -44.408 eV per atom.